Material: TmSc5Rh6
Method: DFT, GGA-PBE
State: optimized geometry

abc: 4.6082 6.4950 7.2836
angles: 90.00 71.56 90.00
Last column: nearest neighbours and their distance in Å.
Positions (direct):
Sc 0.6669 0.5000 0.6662  8 Rh 2.78-2.81
Sc 0.3315 0.0000 0.3369  8 Rh 2.78-2.86
Sc 0.0000 0.5000 0.0000  8 Rh 2.80-2.83
Sc 0.6685 0.0000 0.6631  8 Rh 2.78-2.86
Sc 0.3331 0.5000 0.3338  8 Rh 2.78-2.81
Tm 0.0000 0.0000 0.0000  8 Rh 2.84-2.85
Rh 0.8311 0.7471 0.3377  7 Sc 2.78-2.83, 1 Tm 2.85
Rh 0.8312 0.2529 0.3377  7 Sc 2.78-2.83, 1 Tm 2.85
Rh 0.5000 0.2564 0.0000  6 Sc 2.80-2.86, 2 Tm 2.84
Rh 0.5000 0.7436 0.0000  6 Sc 2.80-2.86, 2 Tm 2.84
Rh 0.1688 0.7471 0.6623  7 Sc 2.78-2.83, 1 Tm 2.85
Rh 0.1689 0.2529 0.6623  7 Sc 2.78-2.83, 1 Tm 2.85

## Properties
Electronic total energy ... -92.3 eV for the cell shown
ΔH_f (0 K) ... -1.008 eV/atom
Density of states at the Fermi level ... 4.02 states/eV/f.u.